No. 1
ScSnSe3 after structural relaxation, computed with PBE.

Computed properties:
**Formation energy from raw total energies**: -5.0 eV per formula unit

The structure in extended XYZ format:
```
10
Lattice="-0.092 -2.594 2.949 6.374 -2.228 -1.760 4.183 8.220 4.745" Properties=species:S:1:pos:R:3 pbc="T T T"
Sn 7.482 -1.424 1.598
Sn 6.002 3.767 3.502
Se 6.290 0.641 3.378
Se 2.959 -0.696 2.097
Se 5.797 -0.586 -0.334
Se 5.277 3.771 6.100
Se 3.180 3.104 2.830
Se 8.697 3.678 3.508
Sc 4.570 1.276 1.265
Sc 9.008 1.034 3.809
```

=====

No. 2
MnFeNi2 after structural relaxation, computed with PBE.

Computed properties:
**Formation energy from the elements**: 0.00 eV/atom

The structure in extended XYZ format:
```
4
Lattice="-1.622 1.567 2.579 -0.197 -2.291 1.267 4.422 -1.373 3.615" Properties=species:S:1:pos:R:3 pbc="T T T"
Ni -0.175 -2.287 1.279
Ni 2.090 -1.836 2.430
Mn 2.358 -1.965 4.951
Fe 0.245 -0.133 2.510
```

=====

| no. | calculated total energy (eV/atom) | spin magnetization (μB per atom) |
| --- | --- | --- |
| 1 | -5.15 | 0.00 |
| 2 | -7.30 | 1.88 |